[1]
K3Hg2F8 (PBE-GGA, optimized geometry); symmetry = No. 166; DOS(E_F) = 12.97 states/eV/f.u.; energy relative to the elements, uncorrected = -24.375 eV per formula unit; total magnetization = 0.095 μB per atom; DFT total energy = -43.24 eV for the cell shown
1.0
6.405 0.000 0.000
3.203 5.547 0.000
3.203 1.849 7.519
F K Hg
8 3 2
Direct
0.802 0.253 0.693
0.306 0.306 0.083
0.253 0.802 0.693
0.747 0.198 0.307
0.253 0.253 0.693
0.747 0.747 0.307
0.198 0.747 0.307
0.694 0.694 0.917
0.806 0.806 0.582
0.194 0.194 0.418
0.000 0.000 0.000
0.598 0.598 0.205
0.402 0.402 0.795


[2]
Th3Os2Pd (PBE-GGA, optimized geometry); symmetry = No. 15; DOS(E_F) = 3.06 states/eV/f.u.; total magnetization = 0.000 μB per atom; DFT total energy = -104.75 eV for the cell shown; energy relative to the elements = -0.411 eV/atom
1.0
5.802 0.000 0.000
0.000 8.298 0.004
-2.901 -2.075 6.241
Th Os Pd
6 4 2
Direct
0.819 0.410 0.639
0.180 0.090 0.361
0.181 0.590 0.361
0.501 0.250 0.000
0.820 0.910 0.639
0.499 0.750 0.000
0.341 0.920 0.681
0.659 0.080 0.319
0.660 0.580 0.319
0.340 0.420 0.681
0.001 0.250 0.000
0.999 0.750 0.000


- Which value of DOS(E_F) does entry 2 give?
  3.06 states/eV/f.u.